## PuTlNiO6 (PBE+U)

Data for PuTlNiO6 after structural relaxation.

Cell and atoms, written as POSCAR:
```
PuTlNiO6
1.0
-3.000 3.873 -2.042
-2.292 -4.201 2.296
0.126 4.633 8.603
Pu Tl Ni O
2 2 2 12
Direct
0.667 0.333 0.250 Pu
0.333 0.667 0.750 Pu
0.000 0.000 0.000 Tl
0.000 0.000 0.500 Tl
0.333 0.667 0.250 Ni
0.667 0.333 0.750 Ni
0.652 0.644 0.136 O
0.992 0.348 0.136 O
0.348 0.992 0.636 O
0.008 0.652 0.864 O
0.356 0.348 0.364 O
0.992 0.644 0.364 O
0.644 0.992 0.864 O
0.652 0.008 0.364 O
0.008 0.356 0.636 O
0.356 0.008 0.136 O
0.644 0.652 0.636 O
0.348 0.356 0.864 O
```

Calculated values
energy	-6.96	eV/atom